# 1
DFT (PBE) results for crystalline Tb3PmZn2 at its relaxed geometry.

Cell and atoms, written as CIF:
```
data_Tb3PmZn2
_space_group_name_H-M_alt 'P 1'
_space_group_IT_number 1
_space_group_name_Hall 'P 1'
_cell_length_a 3.585
_cell_length_b 3.585
_cell_length_c 12.309
_cell_angle_alpha 90.00
_cell_angle_beta 90.00
_cell_angle_gamma 90.00
loop_
_atom_site_label
_atom_site_fract_x
_atom_site_fract_y
_atom_site_fract_z
Tb1 0.000 0.000 0.000
Tb2 0.000 0.000 0.712
Tb3 0.000 0.000 0.288
Pm1 0.500 0.500 0.500
Zn1 0.500 0.500 0.856
Zn2 0.500 0.500 0.144
```

Calculated total energy, Ry/atom: -0.2763

# 2
DFT (PBE) results for crystalline CsHg3Pd at its relaxed geometry.

Cell and atoms, written as CIF:
```
data_CsHg3Pd
_space_group_name_H-M_alt 'P 1'
_space_group_IT_number 1
_space_group_name_Hall 'P 1'
_cell_length_a 4.333
_cell_length_b 9.085
_cell_length_c 9.085
_cell_angle_alpha 140.46
_cell_angle_beta 90.00
_cell_angle_gamma 90.00
loop_
_atom_site_label
_atom_site_fract_x
_atom_site_fract_y
_atom_site_fract_z
Cs1 0.500 0.099 0.901
Hg1 0.500 0.141 0.328
Hg2 0.500 0.672 0.859
Hg3 0.000 0.278 0.722
Pd1 0.000 0.439 0.561
```

Calculated total energy, Ry/atom: -0.1027

# 3
DFT (PBE) results for crystalline Nd6SmSc8 at its relaxed geometry.

Cell and atoms, written as CIF:
```
data_Nd6SmSc8
_space_group_name_H-M_alt 'P 1'
_space_group_IT_number 1
_space_group_name_Hall 'P 1'
_cell_length_a 9.327
_cell_length_b 9.327
_cell_length_c 7.972
_cell_angle_alpha 54.20
_cell_angle_beta 54.20
_cell_angle_gamma 60.00
loop_
_atom_site_label
_atom_site_fract_x
_atom_site_fract_y
_atom_site_fract_z
Nd1 0.429 0.169 0.782
Nd2 0.831 0.380 0.218
Nd3 0.380 0.571 0.218
Nd4 0.620 0.429 0.782
Nd5 0.169 0.620 0.782
Nd6 0.571 0.831 0.218
Sm1 0.000 0.000 0.000
Sc1 0.620 0.127 0.301
Sc2 0.873 0.048 0.699
Sc3 0.048 0.380 0.699
Sc4 0.774 0.774 0.678
Sc5 0.226 0.226 0.322
Sc6 0.952 0.620 0.301
Sc7 0.127 0.952 0.301
Sc8 0.380 0.873 0.699
```

Calculated total energy, Ry/atom: -0.3975

# 4
DFT (PBE) results for crystalline TmZnNi at its relaxed geometry.

Cell and atoms, written as CIF:
```
data_TmZnNi
_space_group_name_H-M_alt 'P 1'
_space_group_IT_number 1
_space_group_name_Hall 'P 1'
_cell_length_a 3.740
_cell_length_b 6.961
_cell_length_c 12.160
_cell_angle_alpha 90.00
_cell_angle_beta 90.00
_cell_angle_gamma 90.00
loop_
_atom_site_label
_atom_site_fract_x
_atom_site_fract_y
_atom_site_fract_z
Tm1 0.000 0.249 0.955
Tm2 0.000 0.751 0.045
Tm3 0.000 0.249 0.545
Tm4 0.000 0.751 0.455
Tm5 0.000 0.143 0.250
Tm6 0.000 0.857 0.750
Zn1 0.500 0.425 0.128
Zn2 0.500 0.575 0.872
Zn3 0.500 0.425 0.372
Zn4 0.500 0.575 0.628
Zn5 0.500 0.795 0.250
Zn6 0.500 0.205 0.750
Ni1 0.500 0.053 0.092
Ni2 0.500 0.947 0.908
Ni3 0.500 0.053 0.408
Ni4 0.500 0.947 0.592
Ni5 0.000 0.554 0.250
Ni6 0.000 0.446 0.750
```

Calculated total energy, Ry/atom: -0.3166

# 5
DFT (PBE) results for crystalline Ho3AuI3 at its relaxed geometry.

Cell and atoms, written as CIF:
```
data_Ho3AuI3
_space_group_name_H-M_alt 'P 1'
_space_group_IT_number 1
_space_group_name_Hall 'P 1'
_cell_length_a 10.657
_cell_length_b 10.657
_cell_length_c 10.657
_cell_angle_alpha 109.47
_cell_angle_beta 109.47
_cell_angle_gamma 109.47
loop_
_atom_site_label
_atom_site_fract_x
_atom_site_fract_y
_atom_site_fract_z
Ho1 0.958 0.479 0.229
Ho2 0.521 0.042 0.271
Ho3 0.250 0.021 0.479
Ho4 0.979 0.750 0.021
Ho5 0.979 0.229 0.458
Ho6 0.771 0.021 0.042
Ho7 0.729 0.458 0.479
Ho8 0.771 0.750 0.229
Ho9 0.542 0.271 0.021
Ho10 0.250 0.229 0.271
Ho11 0.729 0.271 0.750
Ho12 0.521 0.479 0.750
Au1 0.750 0.500 0.000
Au2 0.500 0.250 0.500
Au3 0.750 0.250 0.250
Au4 0.000 0.000 0.250
I1 0.244 0.994 0.987
I2 0.750 0.756 0.744
I3 0.487 0.744 0.994
I4 0.006 0.250 0.994
I5 0.256 0.744 0.250
I6 0.494 0.506 0.250
I7 0.244 0.250 0.756
I8 0.256 0.513 0.506
I9 0.750 0.994 0.506
I10 0.013 0.506 0.756
I11 0.006 0.756 0.513
I12 0.494 0.987 0.744
```

Calculated total energy, Ry/atom: -0.3024
Formation energy (no corrections), eV per atom: -1.02

# 6
DFT (PBE) results for crystalline Sr3TeO4 at its relaxed geometry.

Cell and atoms, written as CIF:
```
data_Sr3TeO4
_space_group_name_H-M_alt 'P 1'
_space_group_IT_number 1
_space_group_name_Hall 'P 1'
_cell_length_a 5.102
_cell_length_b 7.744
_cell_length_c 8.502
_cell_angle_alpha 90.00
_cell_angle_beta 90.00
_cell_angle_gamma 90.00
loop_
_atom_site_label
_atom_site_fract_x
_atom_site_fract_y
_atom_site_fract_z
Sr1 0.551 0.882 0.000
Sr2 0.050 0.660 0.230
Sr3 0.550 0.340 0.270
Sr4 0.051 0.118 0.500
Sr5 0.550 0.340 0.730
Sr6 0.050 0.660 0.770
Te1 0.046 0.289 0.000
Te2 0.546 0.711 0.500
O1 0.050 0.824 0.000
O2 0.675 0.207 0.000
O3 0.047 0.320 0.261
O4 0.547 0.680 0.239
O5 0.175 0.793 0.500
O6 0.550 0.176 0.500
O7 0.547 0.680 0.761
O8 0.047 0.320 0.739
```

Calculated total energy, Ry/atom: -0.4147
Formation energy (no corrections), eV per atom: -2.14